1.
The following is a PBE calculation of Ce4Ge2Ru after structural relaxation, from Alexandria via LeMat-Bulk.

Computed properties:
- ΔE to the lowest computed polymorph: 0.19 eV per formula unit
- Energy of formation: -0.459 eV per atom
- Crystal system: monoclinic

Cell lengths 6.421, 6.421, 5.540 Å; angles 100.97, 100.97, 49.36 degrees
Atoms (fractional coordinates):
1 Ce 0.107 0.107 0.226
2 Ce 0.363 0.363 0.308
3 Ce 0.637 0.637 0.692
4 Ce 0.893 0.893 0.774
5 Ge 0.261 0.261 0.774
6 Ge 0.739 0.739 0.226
7 Ru 0.500 0.500 0.000



2.
The following is a PBE calculation of GdHgBiAu after structural relaxation, from Alexandria via LeMat-Bulk.

Computed properties:
- Energy of formation: -0.446 eV per atom
- Crystal system: cubic

Cell lengths 5.223, 5.223, 5.223 Å; angles 60.00, 60.00, 60.00 degrees
Atoms (fractional coordinates):
1 Gd 0.000 0.000 0.000
2 Hg 0.750 0.750 0.750
3 Bi 0.500 0.500 0.500
4 Au 0.250 0.250 0.250



Computed volume (Å³/f.u.) in order:
169, 101